Record 1
A plane-wave DFT calculation with PBE-GGA was carried out for a relaxed structure of SrFe3Sn.

## Properties
formation energy: 9.97 eV/f.u.
size of the total moment: 7.50 μB per formula unit
uncorrected energy: -4.2207 eV per atom
ΔE to the lowest computed polymorph: 1.101 eV per atom

a b c (Å): 4.796 4.796 4.796
angles (deg): 90.00 90.00 90.00
Space group Pm-3m (No. 221)
Unique sites:
Sr  0.000  0.000  0.000 [1 per cell]
Fe  0.000  0.000  0.500 [3 per cell]
Sn  0.500  0.500  0.500 [1 per cell]



Record 2
A plane-wave DFT calculation with PBE-GGA was carried out for a relaxed structure of SmDyAl.

## Properties
formation energy: -0.53 eV/f.u.
size of the total moment: 0.67 μB per formula unit
uncorrected energy: -4.5302 eV per atom
ΔE to the lowest computed polymorph: 0.064 eV per atom

a b c (Å): 6.526 6.526 8.076
angles (deg): 90.00 90.25 90.00
Space group C2/m (No. 12)
Unique sites:
Sm  0.248  0.000  0.145 [4 per cell]
Dy  0.000  0.250  0.500 [4 per cell]
Al  0.248  0.500  0.239 [4 per cell]



Record 3
A plane-wave DFT calculation with PBE-GGA was carried out for a relaxed structure of TiCoHRu2.

## Properties
size of the total moment: 0.46 μB per formula unit
uncorrected energy: -7.5561 eV per atom
ΔE to the lowest computed polymorph: 0.048 eV per atom

a b c (Å): 3.816 3.816 3.860
angles (deg): 90.00 90.00 90.00
Space group P4/mmm (No. 123)
Unique sites:
Ti  0.000  0.000  0.000 [1 per cell]
Co  0.500  0.500  0.000 [1 per cell]
H  0.000  0.000  0.500 [1 per cell]
Ru  0.000  0.500  0.500 [2 per cell]



- The highest ΔE to the lowest computed polymorph belongs to which entry?
  SrFe3Sn